1.
Below is a geometry-optimized TaIrRh2 structure, with properties calculated at the GGA-PBE level.

The space group is I-42d (No. 122) and the conventional cell measures 3.796, 3.796 and 18.277 Å, with angles of 90.00, 90.00 and 90.00 degrees. The distinct sites, in fractional coordinates, are Ta at (0.000, 0.000, 0.000), Ir at (0.000, 0.000, 0.500) and Rh at (0.241, 0.250, 0.625).

As for the uncorrected energy: -8.838 eV per atom. Its formation energy is 0.06 eV/f.u. Its total moment is 0.00 μB/cell. For the energy above the most stable polymorph in this dataset, the calculation gives 651.4 meV per atom. The density of states at the Fermi level comes out at 4.151 states/eV/f.u.


2.
Below is a geometry-optimized Ta2Ir9Rh structure, with properties calculated at the GGA-PBE level.

The space group is P-1 (No. 2) and the conventional cell measures 4.788, 6.210 and 6.777 Å, with angles of 68.59, 89.81 and 75.04 degrees. The distinct sites, in fractional coordinates, are Ta at (0.087, 0.230, 0.090), Ir at (0.170, 0.499, 0.670), Ir at (0.250, 0.741, 0.246), Ir at (0.332, 0.008, 0.827), Ir at (0.414, 0.244, 0.415), Ir at (0.500, 0.500, 0.000) and Rh at (0.000, 0.000, 0.500).

As for the uncorrected energy: -9.565 eV per atom. Its formation energy is -3.97 eV/f.u. Its total moment is 0.00 μB/cell. The density of states at the Fermi level comes out at 9.523 states/eV/f.u.